Material: V2InF
Method: DFT, GGA+U
State: relaxed

Calculated values
M_tot = 1.4418 μB per atom
Crystal system = cubic
Calculated density = 5.35 Mg/m³
Energy relative to the lowest polymorph listed for this composition = 444 meV/atom

a = 4.6957 Å, b = 4.6957 Å, c = 4.6957 Å
α = 60.00°, β = 60.00°, γ = 60.00°
Fractional positions:
V  0.2500  0.2500  0.2500
V  0.7500  0.7500  0.7500
In  0.0000  0.0000  0.0000
F  0.5000  0.5000  0.5000